Record 1
Density functional theory data (PBE) for crystalline BaZn4As3O12 at its relaxed geometry.

The structure in POSCAR format:
```
BaZn4As3O12
1.0
5.5194 3.1866 2.4154
-5.5194 3.1866 2.4154
0.0000 -6.3732 2.4154
Ba Zn As O
1 4 3 12
Cartesian
0.0000 0.0000 0.0000
-2.3706 -4.1060 3.6231
0.0000 0.0000 3.6231
-2.3706 4.1060 3.6231
4.7412 0.0000 3.6231
-3.1262 -0.9585 2.4154
-3.1262 0.9585 4.8308
0.7330 3.1866 2.4154
-3.3510 -2.4663 3.4229
-4.3619 0.0000 3.6231
-0.4604 -4.1353 3.8232
-1.9430 0.0000 3.6231
-3.3510 2.4663 3.8232
2.1810 -3.7775 3.6231
0.9715 -1.6827 3.6231
-0.4604 4.1352 3.4229
0.9715 1.6827 3.6231
3.8114 -1.6689 3.4229
2.1810 3.7775 3.6231
3.8114 1.6689 3.8232
```

total moment: 0.00 μB/f.u.
energy: -107.6 eV per cell
DOS(E_F): 0.15 states/eV per atom
formation energy (no corrections): -1.3547 eV per atom


Record 2
Density functional theory data (PBE) for crystalline BaZnAsO4 at its relaxed geometry.

The structure in POSCAR format:
```
BaZnAsO4
1.0
0.0000 4.2766 4.2766
4.2766 0.0000 4.2766
4.2766 4.2766 0.0000
Ba Zn As O
1 1 1 4
Cartesian
0.0000 0.0000 0.0000
6.4149 6.4149 6.4149
4.2766 4.2766 4.2766
5.2977 3.2555 3.2555
3.2555 5.2977 3.2555
3.2555 3.2555 5.2977
5.2977 5.2977 5.2977
```

total moment: 0.00 μB/f.u.
energy: -37.6 eV per cell
DOS(E_F): 0.11 states/eV per atom
formation energy (no corrections): -1.4229 eV per atom


> What is the formula in the first record?

BaZn4As3O12